A relaxed structure of VZnIn2O6, computed with GGA+U.

Cell lengths 5.3996, 5.4766, 5.6650 Å; angles 61.53, 63.14, 58.14 degrees
Element x y z (fractional)
O: 0.9682 0.5676 0.2360
O: 0.4225 0.6910 0.7667
In: 0.0235 0.0340 0.9306
O: 0.6926 0.1238 0.7628
O: 0.2438 0.9558 0.2189
In: 0.5249 0.5234 0.4207
O: 0.6004 0.1917 0.2592
O: 0.1115 0.4365 0.7528
Zn: 0.7672 0.8138 0.6166
V: 0.3069 0.3240 0.0509

Results
- Electronic total energy: -60.12 eV/cell
- Total magnetic moment: 1.000 μB per formula unit